1.
! BeCdFeBi | OQMD | GGA-PBE | relaxed; values from VASP
! ΔE to the lowest computed polymorph in meV/atom: 0.0
! Total magnetization in μB per cell: 2.7
&SYSTEM
  ibrav = 0, nat = 4, ntyp = 4
/
ATOMIC_SPECIES
Be 9.01 Be.upf
Cd 112.41 Cd.upf
Fe 55.84 Fe.upf
Bi 208.98 Bi.upf
CELL_PARAMETERS angstrom
0.000 3.332 3.332
3.332 0.000 3.332
3.332 3.332 0.000
ATOMIC_POSITIONS angstrom
Be 0.000 0.000 0.000
Cd 4.997 4.997 4.997
Fe 3.332 3.332 3.332
Bi 1.666 1.666 1.666



2.
! Li4ZnSiPd2 | OQMD | GGA-PBE | relaxed; values from VASP
! Final energy in eV per atom: -3.58
&SYSTEM
  ibrav = 0, nat = 8, ntyp = 4
/
ATOMIC_SPECIES
Li 6.94 Li.upf
Zn 65.41 Zn.upf
Si 28.09 Si.upf
Pd 106.42 Pd.upf
CELL_PARAMETERS angstrom
4.263 0.000 0.000
0.000 4.263 0.000
0.000 0.000 5.944
ATOMIC_POSITIONS angstrom
Li 0.000 0.000 0.000
Li 0.000 2.131 1.484
Li 2.131 0.000 4.461
Li 2.131 2.131 2.972
Zn 0.000 0.000 2.972
Si 2.131 2.131 0.000
Pd 0.000 2.131 4.601
Pd 2.131 0.000 1.343



3.
! TePtPbO | OQMD | GGA-PBE | relaxed; values from VASP
! ΔE to the lowest computed polymorph in meV/atom: 153.0
! Total magnetization in μB per cell: 0.0
&SYSTEM
  ibrav = 0, nat = 32, ntyp = 4
/
ATOMIC_SPECIES
Te 127.60 Te.upf
Pt 195.08 Pt.upf
Pb 207.20 Pb.upf
O 16.00 O.upf
CELL_PARAMETERS angstrom
5.902 0.000 0.000
0.000 7.711 0.000
0.000 0.000 14.598
ATOMIC_POSITIONS angstrom
Te 1.421 0.180 1.334
Te 1.421 3.676 8.633
Te 1.530 4.035 1.334
Te 1.530 7.532 8.633
Te 4.372 0.180 5.965
Te 4.372 3.676 13.264
Te 4.481 4.035 5.965
Te 4.481 7.532 13.264
Pt 0.099 5.662 14.354
Pt 0.099 5.905 7.055
Pt 2.852 1.806 14.354
Pt 2.852 2.049 7.055
Pt 3.050 5.662 7.543
Pt 3.050 5.905 0.244
Pt 5.803 1.806 7.543
Pt 5.803 2.049 0.244
Pb 1.226 1.439 11.956
Pb 1.226 2.417 4.657
Pb 1.725 5.295 11.956
Pb 1.725 6.272 4.657
Pb 4.177 1.439 9.942
Pb 4.177 2.417 2.642
Pb 4.677 5.295 9.942
Pb 4.677 6.272 2.642
O 0.590 4.885 3.095
O 0.590 6.682 10.394
O 2.361 1.030 3.095
O 2.361 2.826 10.394
O 3.541 4.885 4.204
O 3.541 6.682 11.503
O 5.312 1.030 4.204
O 5.312 2.826 11.503



4.
! Bi2Pt2I | OQMD | GGA-PBE | relaxed; values from VASP
! Total magnetization in μB per cell: 0.0
! Final energy in eV per atom: -4.62
&SYSTEM
  ibrav = 0, nat = 5, ntyp = 3
/
ATOMIC_SPECIES
Bi 208.98 Bi.upf
Pt 195.08 Pt.upf
I 126.90 I.upf
CELL_PARAMETERS angstrom
-2.006 2.006 8.553
2.006 -2.006 8.553
2.006 2.006 -8.553
ATOMIC_POSITIONS angstrom
Bi 0.000 0.000 2.338
Bi 0.000 0.000 14.767
Pt 2.006 0.000 4.276
Pt 0.000 2.006 4.276
I 0.000 0.000 8.553